{
  "formula": "Sm6SbSe4",
  "functional": "PBE-GGA",
  "state": "relaxed",
  "lattice": [[2.089, -6.791, 0.000], [2.089, 6.791, 0.000], [0.000, 0.000, 21.251]],
  "species": ["Sm", "Sm", "Sm", "Sm", "Sm", "Sm", "Sm", "Sm", "Sm", "Sm", "Sm", "Sm", "Sb", "Sb", "Se", "Se", "Se", "Se", "Se", "Se", "Se", "Se"],
  "frac_coords": [[0.000, 0.000, 0.000], [0.000, 0.000, 0.500], [0.156, 0.844, 0.750], [0.272, 0.728, 0.095], [0.272, 0.728, 0.405], [0.446, 0.554, 0.664], [0.446, 0.554, 0.836], [0.554, 0.446, 0.164], [0.554, 0.446, 0.336], [0.728, 0.272, 0.595], [0.728, 0.272, 0.905], [0.844, 0.156, 0.250], [0.173, 0.827, 0.250], [0.827, 0.173, 0.750], [0.085, 0.915, 0.624], [0.085, 0.915, 0.876], [0.357, 0.643, 0.537], [0.357, 0.643, 0.963], [0.643, 0.357, 0.037], [0.643, 0.357, 0.463], [0.915, 0.085, 0.124], [0.915, 0.085, 0.376]],
  "dos_at_fermi_per_ev_cell": 19.906,
  "volume_a3_per_cell": 602.9,
  "energy_ev_per_atom": -5.7530,
  "total_magnetization_mub_per_atom": 0.000,
  "e_form_raw_mev_per_atom": -1537
}

---

{
  "formula": "Li2MgPbBr6",
  "functional": "PBE-GGA",
  "state": "relaxed",
  "lattice": [[3.526, 2.036, 6.464], [-3.526, 2.036, 6.464], [0.000, -4.071, 6.464]],
  "species": ["Li", "Li", "Mg", "Pb", "Br", "Br", "Br", "Br", "Br", "Br"],
  "frac_coords": [[0.000, 0.000, 0.000], [0.493, 0.493, 0.493], [0.686, 0.686, 0.686], [0.193, 0.193, 0.193], [0.087, 0.421, 0.758], [0.281, 0.874, 0.634], [0.421, 0.758, 0.087], [0.634, 0.281, 0.874], [0.758, 0.087, 0.421], [0.874, 0.634, 0.281]],
  "dos_at_fermi_per_ev_cell": 0.000,
  "volume_a3_per_cell": 278.4,
  "energy_ev_per_atom": -3.2094,
  "total_magnetization_mub_per_atom": 0.000,
  "e_form_raw_mev_per_atom": -1293
}

---

{
  "formula": "ZnFeOs2",
  "functional": "PBE-GGA",
  "state": "relaxed",
  "lattice": [[5.375, 0.000, 0.000], [0.000, 7.486, 0.000], [0.000, 0.000, 2.704]],
  "species": ["Zn", "Zn", "Fe", "Fe", "Os", "Os", "Os", "Os"],
  "frac_coords": [[0.000, 0.000, 0.000], [0.500, 0.500, 0.000], [0.000, 0.500, 0.000], [0.500, 0.000, 0.000], [0.250, 0.250, 0.500], [0.250, 0.750, 0.500], [0.750, 0.250, 0.500], [0.750, 0.750, 0.500]],
  "dos_at_fermi_per_ev_cell": 8.588,
  "volume_a3_per_cell": 108.8,
  "energy_ev_per_atom": -7.6792,
  "total_magnetization_mub_per_atom": 0.615
}

---

{
  "formula": "K2AlPb2",
  "functional": "PBE-GGA",
  "state": "relaxed",
  "lattice": [[7.667, 0.000, 0.000], [0.000, 7.667, 0.000], [0.000, 0.000, 6.007]],
  "species": ["K", "K", "K", "K", "Al", "Al", "Pb", "Pb", "Pb", "Pb"],
  "frac_coords": [[0.172, 0.328, 0.000], [0.328, 0.828, 0.000], [0.672, 0.172, 0.000], [0.828, 0.672, 0.000], [0.000, 0.000, 0.500], [0.500, 0.500, 0.500], [0.145, 0.645, 0.500], [0.355, 0.145, 0.500], [0.645, 0.855, 0.500], [0.855, 0.355, 0.500]],
  "dos_at_fermi_per_ev_cell": 5.918,
  "volume_a3_per_cell": 353.1,
  "energy_ev_per_atom": -2.6663,
  "total_magnetization_mub_per_atom": 0.000
}

---

{
  "formula": "CeNpPd14",
  "functional": "PBE-GGA",
  "state": "relaxed",
  "lattice": [[5.831, 0.000, 0.000], [0.000, 5.831, 0.000], [0.000, 0.000, 7.809]],
  "species": ["Ce", "Np", "Pd", "Pd", "Pd", "Pd", "Pd", "Pd", "Pd", "Pd", "Pd", "Pd", "Pd", "Pd", "Pd", "Pd"],
  "frac_coords": [[0.000, 0.000, 0.000], [0.500, 0.500, 0.000], [0.000, 0.000, 0.500], [0.000, 0.500, 0.000], [0.000, 0.500, 0.500], [0.252, 0.252, 0.254], [0.252, 0.252, 0.746], [0.252, 0.748, 0.254], [0.252, 0.748, 0.746], [0.500, 0.000, 0.000], [0.500, 0.000, 0.500], [0.500, 0.500, 0.500], [0.748, 0.252, 0.254], [0.748, 0.252, 0.746], [0.748, 0.748, 0.254], [0.748, 0.748, 0.746]],
  "dos_at_fermi_per_ev_cell": 23.925,
  "volume_a3_per_cell": 265.5,
  "energy_ev_per_atom": -6.0573,
  "total_magnetization_mub_per_atom": 0.167
}

---

{
  "formula": "PCI",
  "functional": "PBE-GGA",
  "state": "relaxed",
  "lattice": [[10.330, 0.000, 0.000], [0.000, 3.783, 0.000], [-2.244, 0.000, 8.571]],
  "species": ["P", "P", "P", "P", "C", "C", "C", "C", "I", "I", "I", "I"],
  "frac_coords": [[0.235, 0.000, 0.083], [0.265, 0.500, 0.917], [0.735, 0.500, 0.083], [0.765, 0.000, 0.917], [0.062, 0.000, 0.021], [0.438, 0.500, 0.979], [0.562, 0.500, 0.021], [0.938, 0.000, 0.979], [0.247, 0.000, 0.661], [0.253, 0.500, 0.339], [0.747, 0.500, 0.661], [0.753, 0.000, 0.339]],
  "dos_at_fermi_per_ev_cell": 2.597,
  "volume_a3_per_cell": 334.9,
  "energy_ev_per_atom": -4.8725,
  "total_magnetization_mub_per_atom": 0.000,
  "e_form_raw_mev_per_atom": 522
}